Here is a relaxed LaNdCo2C4 crystal from the Open Quantum Materials Database. Energies are from PBE.

a b c (Å): 3.8201 3.8243 7.4063
angles (deg): 98.22 98.53 90.06
Closest atoms and distances in Å follow each position.
Sites, in units of the cell vectors:
1 C 0.1481 0.5108 0.2724  1 C 1.37
2 C 0.4041 0.5585 0.4254  1 C 1.37
3 C 0.5103 0.1455 0.7761  1 C 1.38
4 C 0.5573 0.4041 0.9275  1 C 1.38
5 Co 0.6276 0.4868 0.1934  4 C 1.93-2.01
6 Co 0.4866 0.6272 0.6953  4 C 1.96-2.01
7 La 0.9253 0.0735 0.5015  8 C 2.74-2.78, 6 Co 3.03-3.06
8 Nd 0.0738 0.9265 0.0023  8 C 2.71-2.78, 2 Co 3.02

Calculated total energy ... -7.874 eV/atom
Crystal system ... triclinic